This record from Alexandria via LeMat-Bulk describes an optimized crystal structure of ZrTiF6. The functional is PBEsol.

The formation energy (no corrections) is -3.403 eV/atom. Its volume is 134.2 Å³/f.u. As for the symmetry: No. 225. The density of states at the Fermi level comes out at 5.48 states/eV/f.u. The calculation puts the total energy at -7.0249 eV/atom.

abc: 5.747 5.747 5.747
angles: 60.00 60.00 60.00
Fractional positions:
Zr1 0.000 0.000 0.000
Ti1 0.500 0.500 0.500
F1 0.251 0.251 0.749
F2 0.251 0.749 0.251
F3 0.251 0.749 0.749
F4 0.749 0.251 0.251
F5 0.749 0.251 0.749
F6 0.749 0.749 0.251